No. 1
{
  "formula": "SnAu15",
  "functional": "PBE",
  "state": "relaxed",
  "energy_ev_per_fu": -52.56,
  "polymorph_energy_mev_per_atom": 15.8,
  "lattice_angstrom": [[5.821, 0.000, 0.000], [0.000, 4.144, 0.000], [-0.063, 0.000, 35.784]],
  "species": ["Sn", "Sn", "Au", "Au", "Au", "Au", "Au", "Au", "Au", "Au", "Au", "Au", "Au", "Au", "Au", "Au", "Au", "Au", "Au", "Au", "Au", "Au", "Au", "Au", "Au", "Au", "Au", "Au", "Au", "Au", "Au", "Au"],
  "frac_coords": [[0.127, 0.250, 0.183], [0.873, 0.750, 0.817], [0.121, 0.250, 0.773], [0.124, 0.250, 0.354], [0.125, 0.250, 0.271], [0.125, 0.250, 0.438], [0.125, 0.250, 0.521], [0.125, 0.250, 0.604], [0.125, 0.250, 0.687], [0.372, 0.750, 0.226], [0.372, 0.750, 0.809], [0.374, 0.750, 0.313], [0.374, 0.750, 0.396], [0.375, 0.750, 0.479], [0.375, 0.750, 0.562], [0.376, 0.750, 0.645], [0.376, 0.750, 0.727], [0.624, 0.250, 0.273], [0.624, 0.250, 0.355], [0.625, 0.250, 0.438], [0.625, 0.250, 0.521], [0.626, 0.250, 0.604], [0.626, 0.250, 0.687], [0.628, 0.250, 0.191], [0.628, 0.250, 0.774], [0.875, 0.750, 0.313], [0.875, 0.750, 0.396], [0.875, 0.750, 0.479], [0.875, 0.750, 0.562], [0.875, 0.750, 0.729], [0.876, 0.750, 0.646], [0.879, 0.750, 0.227]]
}

=====

No. 2
{
  "formula": "YErCu2P4",
  "functional": "PBE",
  "state": "relaxed",
  "energy_ev_per_fu": -47.05,
  "magmom_total_mub_per_atom": 0.00,
  "lattice_angstrom": [[3.710, 0.000, 0.000], [0.000, 3.710, 0.000], [0.000, 0.000, 9.699]],
  "species": ["Y", "Er", "Cu", "Cu", "P", "P", "P", "P"],
  "frac_coords": [[0.000, 0.000, 0.000], [0.500, 0.500, 0.462], [0.000, 0.500, 0.730], [0.500, 0.000, 0.730], [0.000, 0.000, 0.573], [0.000, 0.500, 0.232], [0.500, 0.000, 0.232], [0.500, 0.500, 0.886]]
}

=====

No. 3
{
  "formula": "MgIn2Cu4Ni",
  "functional": "PBE",
  "state": "relaxed",
  "energy_ev_per_fu": -27.53,
  "magmom_total_mub_per_atom": 0.00,
  "lattice_angstrom": [[4.360, 0.000, 0.000], [0.000, 4.360, 0.000], [0.000, 0.000, 6.208]],
  "species": ["Mg", "In", "In", "Cu", "Cu", "Cu", "Cu", "Ni"],
  "frac_coords": [[0.000, 0.000, 0.000], [0.000, 0.000, 0.500], [0.500, 0.500, 0.000], [0.000, 0.500, 0.262], [0.000, 0.500, 0.738], [0.500, 0.000, 0.262], [0.500, 0.000, 0.738], [0.500, 0.500, 0.500]]
}

=====

No. 4
{
  "formula": "SrPAuO",
  "functional": "PBE",
  "state": "relaxed",
  "energy_ev_per_fu": -16.72,
  "polymorph_energy_mev_per_atom": 698.0,
  "lattice_angstrom": [[5.643, 0.000, 0.000], [0.000, 5.643, 0.000], [0.000, 0.000, 4.761]],
  "species": ["Sr", "Sr", "P", "P", "Au", "Au", "O", "O"],
  "frac_coords": [[0.250, 0.750, 0.000], [0.750, 0.250, 0.000], [0.250, 0.250, 0.003], [0.750, 0.750, 0.997], [0.250, 0.250, 0.504], [0.750, 0.750, 0.496], [0.250, 0.750, 0.500], [0.750, 0.250, 0.500]]
}

=====

No. 5
{
  "formula": "CsPd2Cl5",
  "functional": "PBE",
  "state": "relaxed",
  "energy_ev_per_fu": -27.43,
  "lattice_angstrom": [[15.916, 0.000, 0.000], [0.000, 10.690, 0.000], [0.000, 0.000, 5.349]],
  "species": ["Cs", "Cs", "Cs", "Cs", "Pd", "Pd", "Pd", "Pd", "Pd", "Pd", "Pd", "Pd", "Cl", "Cl", "Cl", "Cl", "Cl", "Cl", "Cl", "Cl", "Cl", "Cl", "Cl", "Cl", "Cl", "Cl", "Cl", "Cl", "Cl", "Cl", "Cl", "Cl"],
  "frac_coords": [[0.230, 0.250, 0.094], [0.270, 0.750, 0.594], [0.730, 0.250, 0.406], [0.770, 0.750, 0.906], [0.049, 0.584, 0.268], [0.049, 0.916, 0.268], [0.451, 0.084, 0.768], [0.451, 0.416, 0.768], [0.549, 0.584, 0.232], [0.549, 0.916, 0.232], [0.951, 0.084, 0.732], [0.951, 0.416, 0.732], [0.013, 0.750, 0.012], [0.083, 0.080, 0.538], [0.083, 0.420, 0.538], [0.181, 0.574, 0.098], [0.181, 0.926, 0.098], [0.319, 0.074, 0.598], [0.319, 0.426, 0.598], [0.417, 0.580, 0.038], [0.417, 0.920, 0.038], [0.487, 0.250, 0.512], [0.513, 0.750, 0.488], [0.583, 0.080, 0.962], [0.583, 0.420, 0.962], [0.681, 0.574, 0.402], [0.681, 0.926, 0.402], [0.819, 0.074, 0.902], [0.819, 0.426, 0.902], [0.917, 0.580, 0.462], [0.917, 0.920, 0.462], [0.987, 0.250, 0.988]]
}

=====

No. 6
{
  "formula": "Pr3Mg3HgPt2",
  "functional": "PBE",
  "state": "relaxed",
  "energy_ev_per_fu": -37.74,
  "magmom_total_mub_per_atom": 0.01,
  "lattice_angstrom": [[7.682, 0.000, 0.000], [-3.841, 6.653, 0.000], [0.000, 0.000, 4.213]],
  "species": ["Pr", "Pr", "Pr", "Mg", "Mg", "Mg", "Hg", "Pt", "Pt"],
  "frac_coords": [[0.000, 0.423, 0.000], [0.423, 0.000, 0.000], [0.577, 0.577, 0.000], [0.000, 0.748, 0.500], [0.252, 0.252, 0.500], [0.748, 0.000, 0.500], [0.000, 0.000, 0.000], [0.333, 0.667, 0.500], [0.667, 0.333, 0.500]]
}

=====

No. 7
{
  "formula": "B3Mo4As",
  "functional": "PBE",
  "state": "relaxed",
  "energy_ev_per_fu": -70.07,
  "magmom_total_mub_per_atom": 0.00,
  "lattice_angstrom": [[3.181, 0.000, 0.000], [-1.591, 2.755, 0.000], [0.000, 0.000, 22.702]],
  "species": ["B", "B", "B", "B", "B", "B", "Mo", "Mo", "Mo", "Mo", "Mo", "Mo", "Mo", "Mo", "As", "As"],
  "frac_coords": [[0.000, 0.000, 0.000], [0.000, 0.000, 0.500], [0.333, 0.667, 0.114], [0.333, 0.667, 0.386], [0.667, 0.333, 0.614], [0.667, 0.333, 0.886], [0.000, 0.000, 0.165], [0.000, 0.000, 0.335], [0.000, 0.000, 0.665], [0.000, 0.000, 0.835], [0.333, 0.667, 0.558], [0.333, 0.667, 0.942], [0.667, 0.333, 0.058], [0.667, 0.333, 0.442], [0.333, 0.667, 0.750], [0.667, 0.333, 0.250]]
}

=====

No. 8
{
  "formula": "K2Os5",
  "functional": "PBE",
  "state": "relaxed",
  "energy_ev_per_fu": -45.86,
  "magmom_total_mub_per_atom": 0.00,
  "lattice_angstrom": [[2.271, 1.311, 7.136], [-2.271, 1.311, 7.136], [0.000, -2.622, 7.136]],
  "species": ["K", "K", "Os", "Os", "Os", "Os", "Os"],
  "frac_coords": [[0.000, 0.000, 0.000], [0.478, 0.478, 0.478], [0.238, 0.238, 0.238], [0.355, 0.355, 0.355], [0.607, 0.607, 0.607], [0.739, 0.739, 0.739], [0.858, 0.858, 0.858]]
}

=====

No. 9
{
  "formula": "Be2Pd3Pb2",
  "functional": "PBE",
  "state": "relaxed",
  "energy_ev_per_fu": -30.45,
  "lattice_angstrom": [[2.234, 1.290, 7.103], [-2.234, 1.290, 7.103], [0.000, -2.579, 7.103]],
  "species": ["Be", "Be", "Pd", "Pd", "Pd", "Pb", "Pb"],
  "frac_coords": [[0.000, 0.000, 0.000], [0.499, 0.499, 0.499], [0.373, 0.373, 0.373], [0.629, 0.629, 0.629], [0.883, 0.883, 0.883], [0.239, 0.239, 0.239], [0.758, 0.758, 0.758]]
}

=====

No. 10
{
  "formula": "FeSnOsPd",
  "functional": "PBE",
  "state": "relaxed",
  "energy_ev_per_fu": -27.58,
  "polymorph_energy_mev_per_atom": 0.0,
  "magmom_total_mub_per_atom": 0.74,
  "lattice_angstrom": [[0.000, 3.148, 3.148], [3.148, 0.000, 3.148], [3.148, 3.148, 0.000]],
  "species": ["Fe", "Sn", "Os", "Pd"],
  "frac_coords": [[0.000, 0.000, 0.000], [0.750, 0.750, 0.750], [0.500, 0.500, 0.500], [0.250, 0.250, 0.250]]
}

=====

No. 11
{
  "formula": "LaMgFeAs",
  "functional": "PBE",
  "state": "relaxed",
  "energy_ev_per_fu": -19.31,
  "polymorph_energy_mev_per_atom": 152.6,
  "magmom_total_mub_per_atom": 0.01,
  "lattice_angstrom": [[0.000, 3.297, 3.297], [3.297, 0.000, 3.297], [3.297, 3.297, 0.000]],
  "species": ["La", "Mg", "Fe", "As"],
  "frac_coords": [[0.000, 0.000, 0.000], [0.750, 0.750, 0.750], [0.250, 0.250, 0.250], [0.500, 0.500, 0.500]]
}

=====

No. 12
{
  "formula": "BaCoBi",
  "functional": "PBE",
  "state": "relaxed",
  "energy_ev_per_fu": -13.46,
  "magmom_total_mub_per_atom": 0.00,
  "lattice_angstrom": [[4.543, 0.000, 0.000], [-2.271, 3.934, 0.000], [0.000, 0.000, 9.911]],
  "species": ["Ba", "Ba", "Co", "Co", "Bi", "Bi"],
  "frac_coords": [[0.000, 0.000, 0.000], [0.000, 0.000, 0.500], [0.333, 0.667, 0.252], [0.667, 0.333, 0.752], [0.333, 0.667, 0.750], [0.667, 0.333, 0.250]]
}